1.
Compound: HfBeOs3
Source: the Alexandria database
Functional: PBEsol
Structure: optimized geometry

```
data_HfBeOs3
_chemical_formula_sum 'Hf1 Be1 Os3'
_symmetry_space_group_name_H-M 'P m -3 m'
_symmetry_Int_Tables_number 221
_symmetry_space_group_name_Hall '-P 4 2 3'
_cell_length_a 4.1346
_cell_length_b 4.1346
_cell_length_c 4.1346
_cell_angle_alpha 90.00
_cell_angle_beta 90.00
_cell_angle_gamma 90.00
loop_
_atom_site_label
_atom_site_type_symbol
_atom_site_fract_x
_atom_site_fract_y
_atom_site_fract_z
Hf1 Hf 0.0000 0.0000 0.0000
Be1 Be 0.5000 0.5000 0.5000
Os1 Os 0.0000 0.5000 0.5000
```

ΔH_f (0 K)   124 meV per atom

2.
Compound: ZrSb2Ir
Source: the Alexandria database
Functional: PBEsol
Structure: optimized geometry

```
data_ZrSb2Ir
_chemical_formula_sum 'Zr1 Sb2 Ir1'
_symmetry_space_group_name_H-M 'P 4 m m'
_symmetry_Int_Tables_number 99
_cell_length_a 3.1915
_cell_length_b 3.1915
_cell_length_c 8.4898
_cell_angle_alpha 90.00
_cell_angle_beta 90.00
_cell_angle_gamma 90.00
loop_
_symmetry_equiv_pos_as_xyz
'x,y,z'
'-y,x,z'
'-x,-y,z'
'y,-x,z'
'-x,y,z'
'y,x,z'
'x,-y,z'
'-y,-x,z'
loop_
_atom_site_label
_atom_site_type_symbol
_atom_site_fract_x
_atom_site_fract_y
_atom_site_fract_z
Zr1 Zr 0.0000 0.0000 0.0000
Sb1 Sb 0.0000 0.0000 0.3964
Sb2 Sb 0.5000 0.5000 0.7401
Ir1 Ir 0.5000 0.5000 0.1944
```

Offset from the most stable computed form   0 meV per atom
Energy relative to the elements, uncorrected   -0.36 eV per atom

3.
Compound: Mg2ScZn
Source: the Alexandria database
Functional: PBEsol
Structure: optimized geometry

```
data_Mg2ScZn
_chemical_formula_sum 'Mg8 Sc4 Zn4'
_symmetry_space_group_name_H-M 'F -4 3 m'
_symmetry_Int_Tables_number 216
_symmetry_space_group_name_Hall 'F -4 2 3'
_cell_length_a 6.7472
_cell_length_b 6.7472
_cell_length_c 6.7472
_cell_angle_alpha 90.00
_cell_angle_beta 90.00
_cell_angle_gamma 90.00
loop_
_atom_site_label
_atom_site_type_symbol
_atom_site_fract_x
_atom_site_fract_y
_atom_site_fract_z
Mg1 Mg 0.0000 0.0000 0.0000
Mg2 Mg 0.2500 0.2500 0.2500
Sc1 Sc 0.2500 0.2500 0.7500
Zn1 Zn 0.0000 0.0000 0.5000
```

ΔH_f (0 K)   -139 meV per atom

4.
Compound: LiGa5O8
Source: the Alexandria database
Functional: PBEsol
Structure: optimized geometry

```
data_LiGa5O8
_chemical_formula_sum 'Li2 Ga10 O16'
_symmetry_space_group_name_H-M 'P m n a'
_symmetry_Int_Tables_number 53
_cell_length_a 5.8724
_cell_length_b 5.7663
_cell_length_c 8.1925
_cell_angle_alpha 90.00
_cell_angle_beta 90.00
_cell_angle_gamma 90.00
loop_
_symmetry_equiv_pos_as_xyz
'x,y,z'
'-x,-y,-z'
'-x+1/2,-y,z+1/2'
'x+1/2,y,-z+1/2'
'x,-y,-z'
'-x,y,z'
'-x+1/2,y,-z+1/2'
'x+1/2,-y,z+1/2'
loop_
_atom_site_label
_atom_site_type_symbol
_atom_site_fract_x
_atom_site_fract_y
_atom_site_fract_z
Li1 Li 0.0000 0.0000 0.0000
Ga1 Ga 0.0000 0.2571 0.3839
Ga2 Ga 0.0000 0.5000 0.0000
Ga3 Ga 0.2500 0.2296 0.7500
O1 O 0.0000 0.0080 0.7462
O2 O 0.0000 0.4809 0.7569
O3 O 0.2375 0.2587 0.9886
```

Offset from the most stable computed form   4 meV per atom
Energy relative to the elements, uncorrected   -1.97 eV per atom